## A
{"formula": "MoRhC2", "functional": "GGA-PBE", "state": "optimized geometry", "spacegroup": "I-42d", "cell": [[4.6702, 0.0000, 0.0000], [0.0000, 4.6702, 0.0000], [2.3351, 2.3351, 4.6243]], "species": ["Mo", "C", "Rh", "C", "C", "Rh", "C", "Mo"], "fractional_positions": [[0.5000, 0.5000, 0.0000], [0.6262, 0.1250, 0.2500], [0.7500, 0.2500, 0.5000], [0.8750, 0.8762, 0.7500], [0.3750, 0.3738, 0.7500], [0.0000, 0.0000, 0.0000], [0.1238, 0.6250, 0.2500], [0.2500, 0.7500, 0.5000]]}

---

## B
{"formula": "MoRhC2", "functional": "GGA-PBE", "state": "optimized geometry", "spacegroup": "Fm-3m", "cell": [[0.6682, 0.8617, 3.6727], [-0.1580, 3.6441, 1.1720], [-2.8750, 1.1664, 2.2477]], "species": ["C", "C", "Rh", "Mo"], "fractional_positions": [[0.2500, 0.2500, 0.2500], [0.7500, 0.7500, 0.7500], [0.5000, 0.5000, 0.5000], [0.0000, 0.0000, 0.0000]]}

---

Which one sits at the top of the stability order? A does.

---

## A
{"formula": "Mo2RhC2", "functional": "GGA-PBE", "state": "optimized geometry", "spacegroup": "P4/mbm", "cell": [[-5.5240, -1.0206, -3.2790], [-2.8841, -1.9927, 5.4790], [-0.7951, 2.6046, 0.5288]], "species": ["C", "Mo", "C", "Rh", "Mo", "C", "C", "Mo", "Rh", "Mo"], "fractional_positions": [[0.1345, 0.6345, 0.5000], [0.6405, 0.1405, 0.0000], [0.6345, 0.8655, 0.5000], [0.0000, 0.0000, 0.0000], [0.8595, 0.6405, 0.0000], [0.3655, 0.1345, 0.5000], [0.8655, 0.3655, 0.5000], [0.3595, 0.8595, 0.0000], [0.5000, 0.5000, 0.0000], [0.1405, 0.3595, 0.0000]]}

---

## B
{"formula": "Mo2RhC2", "functional": "GGA-PBE", "state": "optimized geometry", "spacegroup": "I4/mmm", "cell": [[-1.7421, 0.7311, 3.3405], [3.2934, -0.6503, 1.8599], [1.7851, 4.1108, 2.2358]], "species": ["Mo", "Rh", "C", "Mo", "C"], "fractional_positions": [[0.6589, 0.6589, 0.6823], [0.0000, 0.0000, 0.0000], [0.7500, 0.2500, 0.5000], [0.3411, 0.3411, 0.3177], [0.2500, 0.7500, 0.5000]]}

---

Which one sits at the top of the stability order? B does.

---

## A
{"formula": "MoRuC3", "functional": "GGA-PBE", "state": "optimized geometry", "spacegroup": "Pm-3m", "cell": [[4.0022, 0.0000, 0.0000], [0.0000, 4.0022, 0.0000], [0.0000, 0.0000, 4.0022]], "species": ["Mo", "C", "C", "C", "Ru"], "fractional_positions": [[0.0000, 0.0000, 0.0000], [0.5000, 0.0000, 0.0000], [0.0000, 0.0000, 0.5000], [0.0000, 0.5000, 0.0000], [0.5000, 0.5000, 0.5000]]}

---

## B
{"formula": "MoRuC3", "functional": "GGA-PBE", "state": "optimized geometry", "spacegroup": "Pm-3m", "cell": [[3.9004, 0.0000, 0.0000], [0.0000, 3.9004, 0.0000], [0.0000, 0.0000, 3.9004]], "species": ["C", "C", "Ru", "Mo", "C"], "fractional_positions": [[0.0000, 0.0000, 0.5000], [0.0000, 0.5000, 0.0000], [0.0000, 0.0000, 0.0000], [0.5000, 0.5000, 0.5000], [0.5000, 0.0000, 0.0000]]}

---

Which one sits at the top of the stability order? B does.

---

## A
{"formula": "Mo2CS", "functional": "GGA-PBE", "state": "optimized geometry", "spacegroup": "Fm-3m", "cell": [[-1.9828, -2.7519, -2.2389], [-3.5150, -1.5487, 1.3279], [-3.4847, 1.0029, -1.8352]], "species": ["C", "Mo", "S", "Mo"], "fractional_positions": [[0.0000, 0.0000, 0.0000], [0.2500, 0.2500, 0.2500], [0.5000, 0.5000, 0.5000], [0.7500, 0.7500, 0.7500]]}

---

## B
{"formula": "Mo2CS", "functional": "GGA-PBE", "state": "optimized geometry", "spacegroup": "I-42d", "cell": [[-4.2838, -2.8243, -0.5866], [2.0042, -2.1588, -4.2420], [0.7778, -5.9543, 0.2539]], "species": ["C", "Mo", "Mo", "S", "Mo", "Mo", "S", "C"], "fractional_positions": [[0.5000, 0.5000, 0.0000], [0.5749, 0.1250, 0.2500], [0.1751, 0.6250, 0.2500], [0.0000, 0.0000, 0.0000], [0.3750, 0.4251, 0.7500], [0.8750, 0.8249, 0.7500], [0.7500, 0.2500, 0.5000], [0.2500, 0.7500, 0.5000]]}

---

Which one sits at the top of the stability order? B does.

---

## A
{"formula": "MoC3S", "functional": "GGA-PBE", "state": "optimized geometry", "spacegroup": "Pm-3m", "cell": [[4.1422, 0.0000, 0.0000], [0.0000, 4.1422, 0.0000], [0.0000, 0.0000, 4.1422]], "species": ["C", "S", "C", "C", "Mo"], "fractional_positions": [[0.5000, 0.0000, 0.0000], [0.5000, 0.5000, 0.5000], [0.0000, 0.5000, 0.0000], [0.0000, 0.0000, 0.5000], [0.0000, 0.0000, 0.0000]]}

---

## B
{"formula": "MoC3S", "functional": "GGA-PBE", "state": "optimized geometry", "spacegroup": "Pm-3m", "cell": [[-3.3772, -1.1408, 0.6151], [1.0893, -1.5681, 3.0725], [-0.7023, 3.0537, 1.8075]], "species": ["C", "C", "Mo", "C", "S"], "fractional_positions": [[0.5000, 0.0000, 0.0000], [0.0000, 0.5000, 0.0000], [0.5000, 0.5000, 0.5000], [0.0000, 0.0000, 0.5000], [0.0000, 0.0000, 0.0000]]}

---

Which one sits at the top of the stability order? B does.

---

## A
{"formula": "Sb3MoC", "functional": "GGA-PBE", "state": "optimized geometry", "spacegroup": "Pm-3m", "cell": [[4.6660, 0.0000, 0.0000], [0.0000, 4.6660, 0.0000], [0.0000, 0.0000, 4.6660]], "species": ["C", "Sb", "Sb", "Sb", "Mo"], "fractional_positions": [[0.0000, 0.0000, 0.0000], [0.0000, 0.0000, 0.5000], [0.5000, 0.0000, 0.0000], [0.0000, 0.5000, 0.0000], [0.5000, 0.5000, 0.5000]]}

---

## B
{"formula": "Sb3MoC", "functional": "GGA-PBE", "state": "optimized geometry", "spacegroup": "Pm-3m", "cell": [[-4.0487, -0.0017, 3.2563], [1.7143, -4.4184, 2.1292], [2.7685, 2.7336, 3.4436]], "species": ["Sb", "Mo", "Sb", "Sb", "C"], "fractional_positions": [[0.0000, 0.5000, 0.0000], [0.0000, 0.0000, 0.0000], [0.0000, 0.0000, 0.5000], [0.5000, 0.0000, 0.0000], [0.5000, 0.5000, 0.5000]]}

---

Which one sits at the top of the stability order? A does.